# 1
A crystal of CaCoRh2 relaxed with PBEsol, computed with SCAN.

Cell: 8.7943 8.7943 8.7943 Å, 18.53 18.53 18.53°
Closest atoms and distances in Å follow each position.
Fractional positions:
Ca (0.0000, 0.0000, 0.0000)  6 Ca 2.83, 6 Rh 2.88
Co (0.5000, 0.5000, 0.5000)  6 Rh 2.54, 6 Co 2.83
Rh (0.2418, 0.2418, 0.2418)  3 Co 2.54, 6 Rh 2.83
Rh (0.7582, 0.7582, 0.7582)  3 Co 2.54, 6 Rh 2.83

Values from the calculation:
* E: -93.5 eV per formula unit
* calculated volume: 15.0 Å³/atom
* distance to the lowest polymorph of the same formula: 0.77 eV/f.u.
* SG: No. 166
* DOS at the Fermi energy: 3.6 states/eV/f.u.
* magnetization: 2.98 μB per formula unit
* energy of formation from the pure elements: 0.262 eV/atom



# 2
A crystal of Ba2CaTb2Ti3Cu2O14 relaxed with PBEsol, computed with SCAN.

Cell: 3.8535 3.8535 19.5472 Å, 90.00 90.00 90.00°
Closest atoms and distances in Å follow each position.
Fractional positions:
Ba (0.0000, 0.0000, 0.0000)  8 O 2.75-2.91
Ba (0.0000, 0.0000, 0.3696)  8 O 2.75-2.92
Ca (0.0000, 0.0000, 0.7962)  8 O 2.46-2.75
Tb (0.0000, 0.0000, 0.1848)  8 O 2.39-2.40
Tb (0.0000, 0.0000, 0.5841)  12 O 2.57-2.72
Ti (0.5000, 0.5000, 0.4833)  6 O 1.87-1.95
Ti (0.5000, 0.5000, 0.6832)  6 O 1.84-1.95
Ti (0.5000, 0.5000, 0.8858)  5 O 1.84-1.94
Cu (0.5000, 0.5000, 0.1043)  4 O 1.93
Cu (0.5000, 0.5000, 0.2661)  4 O 1.93
O (0.0000, 0.5000, 0.1113)  2 Cu 1.93
O (0.0000, 0.5000, 0.2573)  2 Cu 1.93
O (0.0000, 0.5000, 0.4949)  2 Ti 1.94
O (0.0000, 0.5000, 0.6708)  2 Ti 1.94
O (0.0000, 0.5000, 0.8745)  2 Ti 1.94
O (0.5000, 0.0000, 0.1113)  2 Cu 1.93
O (0.5000, 0.0000, 0.2573)  2 Cu 1.93
O (0.5000, 0.0000, 0.4949)  2 Ti 1.94
O (0.5000, 0.0000, 0.6708)  2 Ti 1.94
O (0.5000, 0.0000, 0.8745)  2 Ti 1.94
O (0.5000, 0.5000, 0.3878)  1 Ti 1.87
O (0.5000, 0.5000, 0.5832)  2 Ti 1.95
O (0.5000, 0.5000, 0.7776)  1 Ti 1.84
O (0.5000, 0.5000, 0.9797)  1 Ti 1.84

Values from the calculation:
* raw formation energy: -72.57 eV/f.u.
* E: -420.6 eV per formula unit
* calculated volume: 12.1 Å³/atom
* SG: No. 99
* DOS at the Fermi energy: 1.9 states/eV/f.u.
* magnetization: 0.00 μB per formula unit



# 3
A crystal of ZrHPd3 relaxed with PBEsol, computed with SCAN.

Cell: 4.0345 4.0345 4.0345 Å, 90.00 90.00 90.00°
Closest atoms and distances in Å follow each position.
Fractional positions:
Zr (0.0000, 0.0000, 0.0000)  12 Pd 2.85
H (0.5000, 0.5000, 0.5000)  6 Pd 2.02
Pd (0.0000, 0.5000, 0.5000)  2 H 2.02
Pd (0.5000, 0.0000, 0.5000)  2 H 2.02
Pd (0.5000, 0.5000, 0.0000)  2 H 2.02

Values from the calculation:
* E: -134.8 eV per formula unit
* calculated volume: 13.1 Å³/atom
* SG: No. 221
* DOS at the Fermi energy: 6.8 states/eV/f.u.
* magnetization: 0.01 μB per formula unit



# 4
A crystal of SrV2Ni2O8 relaxed with PBEsol, computed with SCAN.

Cell: 9.4416 9.4416 9.4416 Å, 100.92 100.92 128.41°
Closest atoms and distances in Å follow each position.
Fractional positions:
Sr (0.0000, 0.0000, 0.0000)  10 O 2.61-2.88
Sr (0.2500, 0.7500, 0.5000)  10 O 2.61-2.88
Sr (0.5000, 0.5000, 0.0000)  10 O 2.61-2.88
Sr (0.7500, 0.2500, 0.5000)  10 O 2.61-2.88
V (0.0737, 0.9125, 0.6770)  4 O 1.70-1.75
V (0.1468, 0.3237, 0.6613)  4 O 1.70-1.75
V (0.1625, 0.8237, 0.1770)  4 O 1.70-1.75
V (0.2355, 0.3968, 0.3230)  4 O 1.70-1.75
V (0.5737, 0.8968, 0.1613)  4 O 1.70-1.75
V (0.6468, 0.9855, 0.8230)  4 O 1.70-1.75
V (0.6625, 0.4855, 0.3387)  4 O 1.70-1.75
V (0.7355, 0.4125, 0.8387)  4 O 1.70-1.75
Ni (0.1072, 0.4421, 0.9967)  6 O 1.97-2.06
Ni (0.1921, 0.6954, 0.8349)  6 O 1.97-2.06
Ni (0.3605, 0.1954, 0.5033)  6 O 1.97-2.06
Ni (0.4454, 0.1105, 0.0033)  6 O 1.97-2.06
Ni (0.6072, 0.6105, 0.6651)  6 O 1.97-2.06
Ni (0.6921, 0.8572, 0.4967)  6 O 1.97-2.06
Ni (0.8605, 0.3572, 0.1651)  6 O 1.97-2.06
Ni (0.9454, 0.9421, 0.3349)  6 O 1.97-2.06
O (0.0481, 0.3819, 0.3288)  1 V 1.70
O (0.0531, 0.7193, 0.6712)  1 V 1.70
O (0.0995, 0.6040, 0.1687)  1 V 1.75
O (0.1265, 0.9630, 0.5160)  1 V 1.75
O (0.1319, 0.3031, 0.8338)  1 V 1.70
O (0.1501, 0.5060, 0.6532)  1 V 1.72
O (0.1809, 0.1854, 0.3313)  1 V 1.75
O (0.2130, 0.8765, 0.0160)  1 V 1.75
O (0.2468, 0.4001, 0.1441)  1 V 1.72
O (0.2560, 0.1028, 0.8559)  1 V 1.72
O (0.3528, 0.0060, 0.3559)  1 V 1.72
O (0.3540, 0.6854, 0.0045)  1 V 1.75
O (0.3605, 0.3765, 0.6634)  1 V 1.75
O (0.4354, 0.9309, 0.8313)  1 V 1.75
O (0.4471, 0.6105, 0.4840)  1 V 1.75
O (0.4693, 0.2981, 0.1662)  1 V 1.70
O (0.5481, 0.2193, 0.6662)  1 V 1.70
O (0.5531, 0.8819, 0.3338)  1 V 1.70
O (0.5995, 0.4309, 0.4955)  1 V 1.75
O (0.6265, 0.1105, 0.1634)  1 V 1.75
O (0.6319, 0.7981, 0.8288)  1 V 1.70
O (0.6501, 0.9968, 0.6441)  1 V 1.72
O (0.6809, 0.3495, 0.9955)  1 V 1.75
O (0.7130, 0.6971, 0.3366)  1 V 1.75
O (0.7468, 0.6028, 0.8468)  1 V 1.72
O (0.7560, 0.9001, 0.1532)  1 V 1.72
O (0.8528, 0.4968, 0.3468)  1 V 1.72
O (0.8540, 0.8495, 0.6687)  1 V 1.75
O (0.8605, 0.1971, 0.9840)  1 V 1.75
O (0.9354, 0.1040, 0.5045)  1 V 1.75
O (0.9471, 0.4630, 0.8366)  1 V 1.75
O (0.9693, 0.8031, 0.1712)  1 V 1.70

Values from the calculation:
* raw formation energy: -31.49 eV/f.u.
* E: -170.9 eV per formula unit
* calculated volume: 11.4 Å³/atom
* SG: No. 110
* DOS at the Fermi energy: 0.0 states/eV/f.u.
* magnetization: 4.00 μB per formula unit



# 5
A crystal of MnNb3O6 relaxed with PBEsol, computed with SCAN.

Cell: 7.0054 7.0054 7.0054 Å, 124.65 119.15 86.81°
Closest atoms and distances in Å follow each position.
Fractional positions:
Mn (0.0000, 0.2495, 0.2495)  4 O 2.18-2.20
Mn (0.0000, 0.7505, 0.7505)  4 O 2.18-2.20
Nb (0.0577, 0.2774, 0.7804)  6 O 2.04-2.15
Nb (0.4970, 0.2774, 0.2196)  6 O 2.04-2.15
Nb (0.5000, 0.2979, 0.7979)  4 O 2.01
Nb (0.5000, 0.7021, 0.2021)  4 O 2.01
Nb (0.5030, 0.7226, 0.7804)  6 O 2.04-2.15
Nb (0.9423, 0.7226, 0.2196)  6 O 2.04-2.15
O (0.1416, 0.6416, 0.5000)  2 Nb 2.15, 2 Mn 2.18
O (0.1461, 0.1461, 0.0000)  2 Nb 2.05, 2 Mn 2.20
O (0.1699, 0.0858, 0.5244)  3 Nb 2.01-2.13
O (0.1699, 0.6455, 0.0840)  3 Nb 2.01-2.13
O (0.4386, 0.3545, 0.5244)  3 Nb 2.01-2.13
O (0.4386, 0.9142, 0.0840)  3 Nb 2.01-2.13
O (0.5614, 0.0858, 0.9160)  3 Nb 2.01-2.13
O (0.5614, 0.6455, 0.4756)  3 Nb 2.01-2.13
O (0.8301, 0.3545, 0.9160)  3 Nb 2.01-2.13
O (0.8301, 0.9142, 0.4756)  3 Nb 2.01-2.13
O (0.8539, 0.8539, 0.0000)  2 Nb 2.05, 2 Mn 2.20
O (0.8584, 0.3584, 0.5000)  2 Nb 2.15, 2 Mn 2.18

Values from the calculation:
* raw formation energy: -24.33 eV/f.u.
* E: -179.4 eV per formula unit
* calculated volume: 11.7 Å³/atom
* SG: No. 71
* DOS at the Fermi energy: 2.7 states/eV/f.u.
* magnetization: 4.31 μB per formula unit



# 6
A crystal of Dy3Zn11 relaxed with PBEsol, computed with SCAN.

Cell: 7.9750 7.9750 7.9750 Å, 148.71 114.06 74.80°
Closest atoms and distances in Å follow each position.
Fractional positions:
Dy (0.0000, 0.0000, 0.0000)  12 Zn 3.03-3.17
Dy (0.2930, 0.2930, 0.0000)  14 Zn 2.98-3.19
Dy (0.7070, 0.7070, 0.0000)  14 Zn 2.98-3.19
Zn (0.0173, 0.6572, 0.3601)  5 Zn 2.43-2.66
Zn (0.1434, 0.8604, 0.2831)  4 Zn 2.49-2.66
Zn (0.2971, 0.6572, 0.6399)  5 Zn 2.43-2.66
Zn (0.3192, 0.5000, 0.8192)  8 Zn 2.53-2.80
Zn (0.4227, 0.1396, 0.2831)  4 Zn 2.49-2.66
Zn (0.5000, 0.0000, 0.5000)  8 Zn 2.58-2.66
Zn (0.5773, 0.8604, 0.7169)  4 Zn 2.49-2.66
Zn (0.6808, 0.5000, 0.1808)  8 Zn 2.53-2.80
Zn (0.7029, 0.3428, 0.3601)  5 Zn 2.43-2.66
Zn (0.8566, 0.1396, 0.7169)  4 Zn 2.49-2.66
Zn (0.9827, 0.3428, 0.6399)  5 Zn 2.43-2.66

Values from the calculation:
* E: -297.8 eV per formula unit
* calculated volume: 16.9 Å³/atom
* SG: No. 71
* DOS at the Fermi energy: 5.8 states/eV/f.u.
* magnetization: 0.00 μB per formula unit
* energy of formation from the pure elements: -0.411 eV/atom



# 7
A crystal of NdTl3 relaxed with PBEsol, computed with SCAN.

Cell: 4.7217 4.7217 4.7217 Å, 90.00 90.00 90.00°
Closest atoms and distances in Å follow each position.
Fractional positions:
Nd (0.0000, 0.0000, 0.0000)  12 Tl 3.34
Tl (0.0000, 0.5000, 0.5000)  8 Tl 3.34, 4 Nd 3.34
Tl (0.5000, 0.0000, 0.5000)  8 Tl 3.34, 4 Nd 3.34
Tl (0.5000, 0.5000, 0.0000)  8 Tl 3.34, 4 Nd 3.34

Values from the calculation:
* E: -262.4 eV per formula unit
* calculated volume: 26.3 Å³/atom
* SG: No. 221
* DOS at the Fermi energy: 2.1 states/eV/f.u.
* magnetization: 0.00 μB per formula unit
* energy of formation from the pure elements: -0.442 eV/atom



# 8
A crystal of SrFeSe2 relaxed with PBEsol, computed with SCAN.

Cell: 5.2943 5.2943 5.2943 Å, 138.73 111.20 83.50°
Closest atoms and distances in Å follow each position.
Fractional positions:
Sr (0.0000, 0.0000, 0.0000)  8 Se 3.10-3.33
Fe (0.5000, 0.5000, 0.0000)  4 Se 2.37
Se (0.3141, 0.8141, 0.5000)  2 Fe 2.37
Se (0.6859, 0.1859, 0.5000)  2 Fe 2.37

Values from the calculation:
* raw formation energy: -3.93 eV/f.u.
* E: -84.5 eV per formula unit
* calculated volume: 22.0 Å³/atom
* distance to the lowest polymorph of the same formula: 0.38 eV/f.u.
* SG: No. 71
* magnetization: 1.98 μB per formula unit



# 9
A crystal of NbAl2Hg relaxed with PBEsol, computed with SCAN.

Cell: 5.8470 5.8470 5.8470 Å, 103.94 103.94 121.20°
Closest atoms and distances in Å follow each position.
Fractional positions:
Nb (0.0000, 0.0000, 0.0000)  4 Al 2.71, 2 Hg 2.87
Nb (0.7500, 0.2500, 0.5000)  4 Al 2.71, 2 Hg 2.87
Al (0.1382, 0.1250, 0.5132)  2 Hg 2.58, 2 Nb 2.71, 2 Al 2.88
Al (0.3750, 0.8618, 0.9868)  2 Hg 2.58, 2 Nb 2.71, 2 Al 2.88
Al (0.6118, 0.6250, 0.4868)  2 Hg 2.58, 2 Nb 2.71, 2 Al 2.88
Al (0.8750, 0.3882, 0.0132)  2 Hg 2.58, 2 Nb 2.71, 2 Al 2.88
Hg (0.2500, 0.7500, 0.5000)  4 Al 2.58, 2 Nb 2.87
Hg (0.5000, 0.5000, 0.0000)  4 Al 2.58, 2 Nb 2.87

Values from the calculation:
* E: -115.9 eV per formula unit
* calculated volume: 18.6 Å³/atom
* SG: No. 122
* DOS at the Fermi energy: 2.0 states/eV/f.u.
* magnetization: 0.00 μB per formula unit
* energy of formation from the pure elements: 0.235 eV/atom



# 10
A crystal of K2AuCl relaxed with PBEsol, computed with SCAN.

Cell: 5.4268 5.4268 5.4268 Å, 120.07 119.90 90.03°
Closest atoms and distances in Å follow each position.
Fractional positions:
K (0.2500, 0.2500, 0.0000)  4 Cl 3.32-3.33, 4 Au 3.32-3.33
K (0.7500, 0.7500, 0.0000)  4 Cl 3.32-3.33, 4 Au 3.32-3.33
Au (0.5000, 0.0000, 0.5000)  8 K 3.32-3.33
Cl (0.0000, 0.5000, 0.5000)  8 K 3.32-3.33

Values from the calculation:
* raw formation energy: -4.84 eV/f.u.
* E: -98.6 eV per formula unit
* calculated volume: 28.3 Å³/atom
* distance to the lowest polymorph of the same formula: 0.15 eV/f.u.
* SG: No. 71
* DOS at the Fermi energy: 0.0 states/eV/f.u.
* magnetization: 0.00 μB per formula unit



# 11
A crystal of Zn2Ge3O8 relaxed with PBEsol, computed with SCAN.

Cell: 8.2387 8.2387 8.2387 Å, 90.00 90.00 90.00°
Closest atoms and distances in Å follow each position.
Fractional positions:
Zn (0.0016, 0.0016, 0.0016)  4 O 1.94-1.99
Zn (0.2484, 0.2484, 0.2484)  4 O 1.94-1.99
Zn (0.2516, 0.7516, 0.7484)  4 O 1.94-1.99
Zn (0.4984, 0.9984, 0.5016)  4 O 1.94-1.99
Zn (0.5016, 0.4984, 0.9984)  4 O 1.94-1.99
Zn (0.7484, 0.2516, 0.7516)  4 O 1.94-1.99
Zn (0.7516, 0.7484, 0.2516)  4 O 1.94-1.99
Zn (0.9984, 0.5016, 0.4984)  4 O 1.94-1.99
Ge (0.1204, 0.6250, 0.1296)  6 O 1.83-1.99
Ge (0.1250, 0.3704, 0.8796)  6 O 1.83-1.99
Ge (0.1296, 0.1204, 0.6250)  6 O 1.83-1.99
Ge (0.3704, 0.8796, 0.1250)  6 O 1.83-1.99
Ge (0.3750, 0.6296, 0.3796)  6 O 1.83-1.99
Ge (0.3796, 0.3750, 0.6296)  6 O 1.83-1.99
Ge (0.6204, 0.8750, 0.8704)  6 O 1.83-1.99
Ge (0.6250, 0.1296, 0.1204)  6 O 1.83-1.99
Ge (0.6296, 0.3796, 0.3750)  6 O 1.83-1.99
Ge (0.8704, 0.6204, 0.8750)  6 O 1.83-1.99
Ge (0.8750, 0.8704, 0.6204)  6 O 1.83-1.99
Ge (0.8796, 0.1250, 0.3704)  6 O 1.83-1.99
O (0.0999, 0.1389, 0.3954)  2 Ge 1.83-1.91, 1 Zn 1.94
O (0.1046, 0.9001, 0.6389)  2 Ge 1.83-1.91, 1 Zn 1.94
O (0.1111, 0.1501, 0.8546)  2 Ge 1.83-1.91, 1 Zn 1.94
O (0.1118, 0.6118, 0.8882)  3 Ge 1.99, 1 Zn 1.99
O (0.1382, 0.3618, 0.6382)  3 Ge 1.99, 1 Zn 1.99
O (0.1389, 0.3954, 0.0999)  2 Ge 1.83-1.91, 1 Zn 1.94
O (0.1454, 0.6111, 0.3499)  2 Ge 1.83-1.91, 1 Zn 1.94
O (0.1501, 0.8546, 0.1111)  2 Ge 1.83-1.91, 1 Zn 1.94
O (0.3499, 0.1454, 0.6111)  2 Ge 1.83-1.91, 1 Zn 1.94
O (0.3546, 0.3889, 0.8499)  2 Ge 1.83-1.91, 1 Zn 1.94
O (0.3611, 0.6046, 0.5999)  2 Ge 1.83-1.91, 1 Zn 1.94
O (0.3618, 0.6382, 0.1382)  3 Ge 1.99, 1 Zn 1.99
O (0.3882, 0.3882, 0.3882)  3 Ge 1.99, 1 Zn 1.99
O (0.3889, 0.8499, 0.3546)  2 Ge 1.83-1.91, 1 Zn 1.94
O (0.3954, 0.0999, 0.1389)  2 Ge 1.83-1.91, 1 Zn 1.94
O (0.4001, 0.8611, 0.8954)  2 Ge 1.83-1.91, 1 Zn 1.94
O (0.5999, 0.3611, 0.6046)  2 Ge 1.83-1.91, 1 Zn 1.94
O (0.6046, 0.5999, 0.3611)  2 Ge 1.83-1.91, 1 Zn 1.94
O (0.6111, 0.3499, 0.1454)  2 Ge 1.83-1.91, 1 Zn 1.94
O (0.6118, 0.8882, 0.1118)  3 Ge 1.99, 1 Zn 1.99
O (0.6382, 0.1382, 0.3618)  3 Ge 1.99, 1 Zn 1.99
O (0.6389, 0.1046, 0.9001)  2 Ge 1.83-1.91, 1 Zn 1.94
O (0.6454, 0.8889, 0.6501)  2 Ge 1.83-1.91, 1 Zn 1.94
O (0.6501, 0.6454, 0.8889)  2 Ge 1.83-1.91, 1 Zn 1.94
O (0.8499, 0.3546, 0.3889)  2 Ge 1.83-1.91, 1 Zn 1.94
O (0.8546, 0.1111, 0.1501)  2 Ge 1.83-1.91, 1 Zn 1.94
O (0.8611, 0.8954, 0.4001)  2 Ge 1.83-1.91, 1 Zn 1.94
O (0.8618, 0.8618, 0.8618)  3 Ge 1.99, 1 Zn 1.99
O (0.8882, 0.1118, 0.6118)  3 Ge 1.99, 1 Zn 1.99
O (0.8889, 0.6501, 0.6454)  2 Ge 1.83-1.91, 1 Zn 1.94
O (0.8954, 0.4001, 0.8611)  2 Ge 1.83-1.91, 1 Zn 1.94
O (0.9001, 0.6389, 0.1046)  2 Ge 1.83-1.91, 1 Zn 1.94

Values from the calculation:
* raw formation energy: -22.85 eV/f.u.
* E: -157.0 eV per formula unit
* calculated volume: 10.8 Å³/atom
* SG: No. 212
* DOS at the Fermi energy: 0.0 states/eV/f.u.
* magnetization: 0.00 μB per formula unit



# 12
A crystal of Al2ZnBr relaxed with PBEsol, computed with SCAN.

Cell: 7.4016 7.4016 7.4016 Å, 132.90 132.90 68.81°
Closest atoms and distances in Å follow each position.
Fractional positions:
Al (0.0720, 0.6250, 0.9470)  2 Zn 2.42
Al (0.3750, 0.3220, 0.4470)  2 Zn 2.42
Al (0.6780, 0.1250, 0.0530)  2 Zn 2.42
Al (0.8750, 0.9280, 0.5530)  2 Zn 2.42
Zn (0.0000, 0.0000, 0.0000)  4 Al 2.42
Zn (0.7500, 0.2500, 0.5000)  4 Al 2.42
Br (0.2500, 0.7500, 0.5000)  4 Al 2.78
Br (0.5000, 0.5000, 0.0000)  4 Al 2.78

Values from the calculation:
* raw formation energy: 1.04 eV/f.u.
* E: -47.4 eV per formula unit
* calculated volume: 26.7 Å³/atom
* distance to the lowest polymorph of the same formula: 0.52 eV/f.u.
* SG: No. 122
* DOS at the Fermi energy: 3.6 states/eV/f.u.
* magnetization: 0.00 μB per formula unit